AgSbW2: relaxed, GGA-PBE.

Cell lengths 3.2123, 3.2123, 6.8081 Å; angles 90.00, 90.00, 90.00 degrees
Fractional coordinates of all 4 atoms:
Ag1 0.0000 0.0000 0.0000
Sb1 0.0000 0.0000 0.5000
W1 0.5000 0.5000 0.2607
W2 0.5000 0.5000 0.7393

Output
M_tot   0.0 μB per formula unit
Raw formation energy   0.892 eV per atom
E_tot   -7.33 eV/atom